Record 1
La3Dy6YHo2: optimized geometry, GGA-PBE.

```
La3Dy6YHo2
1.0
-2.052 -0.935 -5.807
5.371 -2.552 1.856
-6.873 -8.375 4.891
Y Ho Dy La
1 2 6 3
Cartesian
0.000 0.000 0.000
2.897 -2.013 -0.699
0.423 -1.474 -3.253
-1.459 -9.221 2.006
0.386 -3.181 1.494
-3.939 -8.681 -0.554
-2.095 -2.641 -1.067
-4.355 -7.212 2.697
0.801 -4.650 -1.757
-4.250 -5.392 -2.084
0.697 -6.470 3.023
-1.777 -5.931 0.470
```

Computed properties:
magnetic moment = 0.000 μB per formula unit
calculated total energy = -57.74 eV/cell
symmetry = C2/m
ΔH_f (0 K) = 23 meV/atom

---

Record 2
LaDy2Y3Ho6: optimized geometry, GGA-PBE.

```
LaDy2Y3Ho6
1.0
6.162 0.001 0.024
-3.078 5.338 0.024
-1.069 -1.850 11.600
Ho Dy La Y
6 2 1 3
Cartesian
3.053 1.717 8.719
-1.038 1.772 2.930
2.043 3.537 2.954
2.053 -0.014 2.930
-0.038 3.503 8.719
-0.028 -0.048 8.694
3.081 1.780 0.024
0.002 3.559 0.024
0.000 0.000 0.000
4.084 -0.033 5.824
-2.069 3.521 5.824
1.007 1.744 5.824
```

Computed properties:
magnetic moment = 0.000 μB per formula unit
calculated total energy = -60.71 eV/cell
symmetry = C2/m
ΔH_f (0 K) = 24 meV/atom